11
Lattice="-1.909 7.722 4.748 1.909 -7.722 4.748 1.909 7.722 -4.748" Properties=species:S:1:pos:R:3 comment="Dy2Er2Tm2LuNi2Te2 GGA-PBE relaxed" polymorph_energy_ev_per_fu=0.03 final_energy_ev_per_atom=-5.146 total_magnetization_mub_per_cell=0.01 pbc="T T T"
Dy 1.909 -2.252 2.171
Dy 1.909 2.252 2.171
Er 1.909 2.846 -1.162
Er 0.000 4.876 3.586
Te 0.000 7.722 2.216
Te 0.000 0.000 3.225
Ni 0.000 11.774 0.660
Ni 0.000 3.670 0.660
Tm 1.909 5.651 0.779
Tm 0.000 2.071 5.526
Lu 0.000 0.000 9.493